! PBE Mn3Ga5H12, relaxed; values from VASP
&SYSTEM
  ibrav = 0, nat = 80, ntyp = 3
/
ATOMIC_SPECIES
Mn 54.94 Mn.upf
Ga 69.72 Ga.upf
H 1.01 H.upf
ATOMIC_POSITIONS crystal
Mn 0.125 0.250 0.375
Mn 0.125 0.375 0.750
Mn 0.250 0.375 0.125
Mn 0.250 0.875 0.625
Mn 0.375 0.125 0.250
Mn 0.375 0.750 0.125
Mn 0.625 0.250 0.875
Mn 0.625 0.875 0.750
Mn 0.750 0.125 0.375
Mn 0.750 0.625 0.875
Mn 0.875 0.625 0.250
Mn 0.875 0.750 0.625
Ga 0.000 0.000 0.000
Ga 0.000 0.000 0.500
Ga 0.000 0.500 0.000
Ga 0.000 0.500 0.500
Ga 0.125 0.750 0.875
Ga 0.125 0.875 0.250
Ga 0.250 0.125 0.875
Ga 0.250 0.625 0.375
Ga 0.375 0.250 0.625
Ga 0.375 0.625 0.750
Ga 0.500 0.000 0.000
Ga 0.500 0.000 0.500
Ga 0.500 0.500 0.000
Ga 0.500 0.500 0.500
Ga 0.625 0.375 0.250
Ga 0.625 0.750 0.375
Ga 0.750 0.375 0.625
Ga 0.750 0.875 0.125
Ga 0.875 0.125 0.750
Ga 0.875 0.250 0.125
H 0.073 0.692 0.423
H 0.073 0.881 0.650
H 0.077 0.769 0.650
H 0.077 0.808 0.427
H 0.119 0.269 0.192
H 0.119 0.350 0.927
H 0.150 0.269 0.577
H 0.150 0.381 0.573
H 0.192 0.119 0.269
H 0.192 0.573 0.923
H 0.231 0.350 0.923
H 0.231 0.381 0.308
H 0.269 0.192 0.119
H 0.269 0.577 0.150
H 0.308 0.231 0.381
H 0.308 0.577 0.927
H 0.350 0.923 0.231
H 0.350 0.927 0.119
H 0.381 0.308 0.231
H 0.381 0.573 0.150
H 0.423 0.073 0.692
H 0.423 0.850 0.731
H 0.427 0.077 0.808
H 0.427 0.850 0.619
H 0.573 0.150 0.381
H 0.573 0.923 0.192
H 0.577 0.150 0.269
H 0.577 0.927 0.308
H 0.619 0.427 0.850
H 0.619 0.692 0.769
H 0.650 0.073 0.881
H 0.650 0.077 0.769
H 0.692 0.423 0.073
H 0.692 0.769 0.619
H 0.731 0.423 0.850
H 0.731 0.808 0.881
H 0.769 0.619 0.692
H 0.769 0.650 0.077
H 0.808 0.427 0.077
H 0.808 0.881 0.731
H 0.850 0.619 0.427
H 0.850 0.731 0.423
H 0.881 0.650 0.073
H 0.881 0.731 0.808
H 0.923 0.192 0.573
H 0.923 0.231 0.350
H 0.927 0.119 0.350
H 0.927 0.308 0.577
CELL_PARAMETERS angstrom
-5.714 5.714 5.714
5.714 -5.714 5.714
5.714 5.714 -5.714
! Space group: No. 230
! DFT total energy, eV/atom: -3.676
! M_tot, μB per cell: 34.27